The following is a GGA-PBE calculation of crystalline Pm3Y2Tl at its relaxed geometry, from Alexandria.

abc: 6.568 6.594 9.538
angles: 89.32 89.77 67.07
Positions (direct):
1 Pm 0.003 0.249 0.258
2 Pm 0.258 0.520 0.058
3 Pm 0.497 0.748 0.603
4 Pm 0.503 0.252 0.397
5 Pm 0.742 0.480 0.942
6 Pm 0.997 0.751 0.742
7 Y 0.001 0.251 0.615
8 Y 0.255 0.020 0.939
9 Y 0.745 0.980 0.061
10 Y 0.999 0.749 0.385
11 Tl 0.499 0.755 0.262
12 Tl 0.501 0.245 0.738

Properties
offset from the most stable computed form	0	meV/atom
E_form	-0.114	eV per atom
final energy	-5.0388	eV per atom
SG	No. 2